Entry 1:
Below is CoReIO2 after structural relaxation, with properties calculated at the PBE with a Hubbard U level.

The structure in POSCAR format:
```
CoReIO2
1.0
3.822 0.000 0.000
0.000 3.822 0.000
0.000 0.000 5.875
I Re Co O
1 1 1 2
Direct
0.000 0.000 0.500
0.500 0.500 0.500
0.000 0.000 0.000
0.000 0.500 0.000
0.500 0.000 0.000
```

Offset from the most stable computed form (meV per atom): 1304.1
Total magnetization (μB per atom): 1.363
VASP energy (eV for the cell shown): -24.69


Entry 2:
Below is CoReIO2 after structural relaxation, with properties calculated at the PBE with a Hubbard U level.

The structure in POSCAR format:
```
CoReIO2
1.0
-1.362 -1.898 -3.017
-2.395 -1.905 2.279
-4.245 4.353 -0.822
I Re Co O
1 1 1 2
Direct
0.000 0.000 0.500
0.000 0.000 0.000
0.500 0.500 0.500
0.000 0.500 0.000
0.500 0.000 0.000
```

Offset from the most stable computed form (meV per atom): 0.0
Total magnetization (μB per atom): 0.359
VASP energy (eV for the cell shown): -31.21


Entry 3:
Below is CoReI2O after structural relaxation, with properties calculated at the PBE with a Hubbard U level.

The structure in POSCAR format:
```
CoReI2O
1.0
-2.721 -4.205 -2.469
3.116 -3.674 2.824
-2.372 -0.001 2.616
I Re Co O
2 1 1 1
Direct
0.000 0.500 0.000
0.500 0.000 0.000
0.500 0.500 0.500
0.000 0.000 0.000
0.000 0.000 0.500
```

Offset from the most stable computed form (meV per atom): 533.3
Total magnetization (μB per atom): 1.356
VASP energy (eV for the cell shown): -21.31


Entry 4:
Below is CoReI2O after structural relaxation, with properties calculated at the PBE with a Hubbard U level.

The structure in POSCAR format:
```
CoReI2O
1.0
5.578 0.000 0.000
0.000 5.578 0.000
0.000 0.000 3.762
I Re Co O
2 1 1 1
Direct
0.000 0.500 0.000
0.500 0.000 0.000
0.000 0.000 0.000
0.500 0.500 0.500
0.000 0.000 0.500
```

Offset from the most stable computed form (meV per atom): 0.0
Total magnetization (μB per atom): 0.520
VASP energy (eV for the cell shown): -23.97


Entry 5:
Below is CoRhIO6 after structural relaxation, with properties calculated at the PBE with a Hubbard U level.

The structure in POSCAR format:
```
CoRhIO6
1.0
-2.605 1.619 4.171
4.543 -2.418 0.563
4.251 7.893 -0.408
Co Rh I O
2 2 2 12
Direct
0.000 0.000 0.000
0.000 0.000 0.500
0.333 0.667 0.250
0.667 0.333 0.750
0.667 0.333 0.250
0.333 0.667 0.750
0.655 0.645 0.131
0.990 0.345 0.131
0.345 0.990 0.631
0.010 0.655 0.869
0.355 0.345 0.369
0.990 0.645 0.369
0.645 0.990 0.869
0.655 0.010 0.369
0.010 0.355 0.631
0.355 0.010 0.131
0.645 0.655 0.631
0.345 0.355 0.869
```

Total magnetization (μB per atom): 0.337
VASP energy (eV for the cell shown): -97.71


Entry 6:
Below is Co2RhIO6 after structural relaxation, with properties calculated at the PBE with a Hubbard U level.

The structure in POSCAR format:
```
Co2RhIO6
1.0
-1.911 2.075 -4.516
-1.677 -3.209 -3.904
-5.394 -0.357 -1.021
Co Rh I O
2 1 1 6
Direct
0.504 0.504 0.489
0.042 0.042 0.875
0.823 0.823 0.530
0.274 0.274 0.177
0.644 0.243 0.254
0.243 0.859 0.254
0.859 0.644 0.254
0.426 0.724 0.728
0.724 0.122 0.728
0.122 0.426 0.728
```

Total magnetization (μB per atom): 0.269
VASP energy (eV for the cell shown): -53.91


Entry 7:
Below is CoSIO2 after structural relaxation, with properties calculated at the PBE with a Hubbard U level.

The structure in POSCAR format:
```
CoSIO2
1.0
3.672 0.000 0.000
0.000 3.672 0.000
0.000 0.000 7.346
I S Co O
1 1 1 2
Direct
0.000 0.000 0.500
0.000 0.000 0.000
0.500 0.500 0.500
0.000 0.500 0.000
0.500 0.000 0.000
```

Total magnetization (μB per atom): 0.410
VASP energy (eV for the cell shown): -19.31


Entry 8:
Below is CoSI2O after structural relaxation, with properties calculated at the PBE with a Hubbard U level.

The structure in POSCAR format:
```
CoSI2O
1.0
-1.132 -5.208 1.810
1.645 -2.083 -4.963
3.302 -0.295 1.218
I S Co O
2 1 1 1
Direct
0.000 0.500 0.000
0.500 0.000 0.000
0.500 0.500 0.500
0.000 0.000 0.000
0.000 0.000 0.500
```

Offset from the most stable computed form (meV per atom): 0.0
Total magnetization (μB per atom): 0.645
VASP energy (eV for the cell shown): -15.89


Entry 9:
Below is CoSIO2 after structural relaxation, with properties calculated at the PBE with a Hubbard U level.

The structure in POSCAR format:
```
CoSIO2
1.0
-2.617 0.390 2.654
1.750 -2.561 2.102
4.206 5.603 3.324
I S Co O
1 1 1 2
Direct
0.000 0.000 0.500
0.500 0.500 0.500
0.000 0.000 0.000
0.000 0.500 0.000
0.500 0.000 0.000
```

Total magnetization (μB per atom): 0.825
VASP energy (eV for the cell shown): -20.24


Entry 10:
Below is CoSI2O after structural relaxation, with properties calculated at the PBE with a Hubbard U level.

The structure in POSCAR format:
```
CoSI2O
1.0
5.618 0.000 0.000
0.000 5.618 0.000
0.000 0.000 3.626
I S Co O
2 1 1 1
Direct
0.000 0.500 0.000
0.500 0.000 0.000
0.000 0.000 0.000
0.500 0.500 0.500
0.000 0.000 0.500
```

Offset from the most stable computed form (meV per atom): 263.3
Total magnetization (μB per atom): 0.523
VASP energy (eV for the cell shown): -14.58


Entry 11:
Below is CoSbIO2 after structural relaxation, with properties calculated at the PBE with a Hubbard U level.

The structure in POSCAR format:
```
CoSbIO2
1.0
4.004 0.000 0.000
0.000 4.004 0.000
0.000 0.000 6.785
I Sb Co O
1 1 1 2
Direct
0.000 0.000 0.500
0.000 0.000 0.000
0.500 0.500 0.500
0.000 0.500 0.000
0.500 0.000 0.000
```

Offset from the most stable computed form (meV per atom): 0.0
Total magnetization (μB per atom): 0.414
VASP energy (eV for the cell shown): -22.08


Entry 12:
Below is CoSbI2O after structural relaxation, with properties calculated at the PBE with a Hubbard U level.

The structure in POSCAR format:
```
CoSbI2O
1.0
-0.003 0.794 5.340
-4.148 -3.418 0.506
3.166 -3.759 0.561
I Sb Co O
2 1 1 1
Direct
0.000 0.500 0.000
0.500 0.000 0.000
0.000 0.000 0.500
0.000 0.000 0.000
0.500 0.500 0.500
```

Offset from the most stable computed form (meV per atom): 836.8
Total magnetization (μB per atom): 0.618
VASP energy (eV for the cell shown): -13.26


Entry 13:
Below is CoSbI2O after structural relaxation, with properties calculated at the PBE with a Hubbard U level.

The structure in POSCAR format:
```
CoSbI2O
1.0
-1.993 -4.228 -3.409
0.231 -3.694 4.446
-3.414 0.878 0.907
I Sb Co O
2 1 1 1
Direct
0.000 0.500 0.000
0.500 0.000 0.000
0.500 0.500 0.500
0.000 0.000 0.000
0.000 0.000 0.500
```

Offset from the most stable computed form (meV per atom): 0.0
Total magnetization (μB per atom): 0.624
VASP energy (eV for the cell shown): -17.44


Entry 14:
Below is CoSbI2O after structural relaxation, with properties calculated at the PBE with a Hubbard U level.

The structure in POSCAR format:
```
CoSbI2O
1.0
-2.149 5.650 1.002
-2.850 -0.122 -5.423
-3.263 -1.552 1.750
I Sb Co O
2 1 1 1
Direct
0.000 0.500 0.000
0.500 0.000 0.000
0.000 0.000 0.500
0.500 0.500 0.500
0.000 0.000 0.000
```

Offset from the most stable computed form (meV per atom): 598.1
Total magnetization (μB per atom): 0.449
VASP energy (eV for the cell shown): -14.45


Entry 15:
Below is CoSbI2O after structural relaxation, with properties calculated at the PBE with a Hubbard U level.

The structure in POSCAR format:
```
CoSbI2O
1.0
-2.125 2.176 5.317
-5.741 -1.020 -1.877
0.146 -3.763 1.598
I Sb Co O
2 1 1 1
Direct
0.000 0.500 0.000
0.500 0.000 0.000
0.000 0.000 0.000
0.500 0.500 0.500
0.000 0.000 0.500
```

Offset from the most stable computed form (meV per atom): 272.1
Total magnetization (μB per atom): 0.638
VASP energy (eV for the cell shown): -16.08


Entry 16:
Below is CoSbIO2 after structural relaxation, with properties calculated at the PBE with a Hubbard U level.

The structure in POSCAR format:
```
CoSbIO2
1.0
-3.641 -0.335 2.019
1.094 -3.801 1.342
2.052 2.016 4.035
I Sb Co O
1 1 1 2
Direct
0.000 0.000 0.500
0.500 0.500 0.500
0.000 0.000 0.000
0.000 0.500 0.000
0.500 0.000 0.000
```

Offset from the most stable computed form (meV per atom): 484.2
Total magnetization (μB per atom): 0.468
VASP energy (eV for the cell shown): -19.65


Entry 17:
Below is ScCoI2O after structural relaxation, with properties calculated at the PBE with a Hubbard U level.

The structure in POSCAR format:
```
ScCoI2O
1.0
5.897 0.000 0.000
0.000 5.897 0.000
0.000 0.000 3.875
I Sc Co O
2 1 1 1
Direct
0.000 0.500 0.000
0.500 0.000 0.000
0.000 0.000 0.000
0.500 0.500 0.500
0.000 0.000 0.500
```

Offset from the most stable computed form (meV per atom): 0.0
Total magnetization (μB per atom): 0.544
VASP energy (eV for the cell shown): -23.16


Entry 18:
Below is Sc2CoIO8 after structural relaxation, with properties calculated at the PBE with a Hubbard U level.

The structure in POSCAR format:
```
Sc2CoIO8
1.0
4.724 -0.124 -0.003
-0.119 4.724 -0.005
0.004 0.007 6.328
Sc Co I O
2 1 1 8
Direct
0.500 0.500 0.741
0.500 0.500 0.259
0.000 0.000 0.500
0.000 0.000 0.000
0.185 0.815 0.226
0.709 0.709 0.000
0.815 0.185 0.226
0.815 0.185 0.774
0.291 0.291 0.000
0.185 0.815 0.774
0.711 0.711 0.500
0.289 0.289 0.500
```

Total magnetization (μB per atom): 0.333
VASP energy (eV for the cell shown): -79.99


Entry 19:
Below is ScCoI2O after structural relaxation, with properties calculated at the PBE with a Hubbard U level.

The structure in POSCAR format:
```
ScCoI2O
1.0
5.627 0.000 0.000
0.000 5.627 0.000
0.000 0.000 3.628
I Sc Co O
2 1 1 1
Direct
0.000 0.500 0.000
0.500 0.000 0.000
0.500 0.500 0.500
0.000 0.000 0.000
0.000 0.000 0.500
```

Offset from the most stable computed form (meV per atom): 360.1
Total magnetization (μB per atom): 0.752
VASP energy (eV for the cell shown): -21.36


Entry 20:
Below is CoSeIO2 after structural relaxation, with properties calculated at the PBE with a Hubbard U level.

The structure in POSCAR format:
```
CoSeIO2
1.0
-1.850 2.590 -2.188
-2.044 -2.840 -1.634
-4.799 0.667 4.846
I Co O Se
1 1 2 1
Direct
0.000 0.000 0.500
0.000 0.000 0.000
0.000 0.500 0.000
0.500 0.000 0.000
0.500 0.500 0.500
```

Offset from the most stable computed form (meV per atom): 22.4
Total magnetization (μB per atom): 0.852
VASP energy (eV for the cell shown): -19.29


Entry 21:
Below is CoSeIO2 after structural relaxation, with properties calculated at the PBE with a Hubbard U level.

The structure in POSCAR format:
```
CoSeIO2
1.0
-3.416 0.989 -1.425
-1.253 -3.583 0.515
-2.273 1.754 6.668
I Co O Se
1 1 2 1
Direct
0.000 0.000 0.500
0.500 0.500 0.500
0.000 0.500 0.000
0.500 0.000 0.000
0.000 0.000 0.000
```

Offset from the most stable computed form (meV per atom): 0.0
Total magnetization (μB per atom): 0.389
VASP energy (eV for the cell shown): -19.40


Entry 22:
Below is CoSiIO2 after structural relaxation, with properties calculated at the PBE with a Hubbard U level.

The structure in POSCAR format:
```
CoSiIO2
1.0
-2.645 2.626 1.224
-1.956 -2.841 1.869
2.969 0.903 4.478
I Si Co O
1 1 1 2
Direct
0.000 0.000 0.500
0.500 0.500 0.500
0.000 0.000 0.000
0.000 0.500 0.000
0.500 0.000 0.000
```

Offset from the most stable computed form (meV per atom): 795.6
Total magnetization (μB per atom): 0.693
VASP energy (eV for the cell shown): -20.73


Entry 23:
Below is CoSiI2O after structural relaxation, with properties calculated at the PBE with a Hubbard U level.

The structure in POSCAR format:
```
CoSiI2O
1.0
-1.233 -3.280 -4.377
1.197 -4.540 3.065
-3.455 -0.168 1.100
I Si Co O
2 1 1 1
Direct
0.000 0.500 0.000
0.500 0.000 0.000
0.500 0.500 0.500
0.000 0.000 0.000
0.000 0.000 0.500
```

Offset from the most stable computed form (meV per atom): 135.0
Total magnetization (μB per atom): 0.638
VASP energy (eV for the cell shown): -17.80


Entry 24:
Below is CoSiI2O after structural relaxation, with properties calculated at the PBE with a Hubbard U level.

The structure in POSCAR format:
```
CoSiI2O
1.0
5.606 0.000 0.000
0.000 5.606 0.000
0.000 0.000 3.531
I Si Co O
2 1 1 1
Direct
0.000 0.500 0.000
0.500 0.000 0.000
0.000 0.000 0.000
0.500 0.500 0.500
0.000 0.000 0.500
```

Offset from the most stable computed form (meV per atom): 0.0
Total magnetization (μB per atom): 0.508
VASP energy (eV for the cell shown): -18.48


Entry 25:
Below is CoSiIO2 after structural relaxation, with properties calculated at the PBE with a Hubbard U level.

The structure in POSCAR format:
```
CoSiIO2
1.0
-1.488 -2.137 2.337
0.940 -2.764 -1.929
6.006 -0.382 3.474
I Si Co O
1 1 1 2
Direct
0.000 0.000 0.500
0.000 0.000 0.000
0.500 0.500 0.500
0.000 0.500 0.000
0.500 0.000 0.000
```

Offset from the most stable computed form (meV per atom): 0.0
Total magnetization (μB per atom): 0.373
VASP energy (eV for the cell shown): -24.71


Entry 26:
Below is CoSnI2O after structural relaxation, with properties calculated at the PBE with a Hubbard U level.

The structure in POSCAR format:
```
CoSnI2O
1.0
6.086 0.000 0.000
0.000 6.086 0.000
0.000 0.000 4.035
I Co Sn O
2 1 1 1
Direct
0.000 0.500 0.000
0.500 0.000 0.000
0.500 0.500 0.500
0.000 0.000 0.000
0.000 0.000 0.500
```

Offset from the most stable computed form (meV per atom): 408.1
Total magnetization (μB per atom): 0.633
VASP energy (eV for the cell shown): -16.31


Entry 27:
Below is CoSnI2O after structural relaxation, with properties calculated at the PBE with a Hubbard U level.

The structure in POSCAR format:
```
CoSnI2O
1.0
5.834 0.000 0.000
0.000 5.834 0.000
0.000 0.000 3.685
I Co Sn O
2 1 1 1
Direct
0.000 0.500 0.000
0.500 0.000 0.000
0.000 0.000 0.000
0.500 0.500 0.500
0.000 0.000 0.500
```

Offset from the most stable computed form (meV per atom): 0.0
Total magnetization (μB per atom): 0.667
VASP energy (eV for the cell shown): -18.35